1.
Li3HgTe: optimized geometry, PBE-GGA.

abc: 4.983 4.983 4.983
angles: 90.00 90.00 90.00
Space group Pm-3m (No. 221)
One atom of each set of equivalent atoms:
1 Li 0.000 0.000 0.500 (multiplicity 3)
2 Hg 0.000 0.000 0.000 (multiplicity 1)
3 Te 0.500 0.500 0.500 (multiplicity 1)

Summary:
uncorrected formation energy: -0.214 eV/atom
total energy: -10.257 eV for the cell shown

2.
ZnH2Cl3: optimized geometry, PBE-GGA.

abc: 11.317 14.980 3.658
angles: 90.00 93.52 90.00
Space group C2/c (No. 15)
One atom of each set of equivalent atoms:
1 Zn 0.000 0.062 0.250 (multiplicity 4)
2 H 0.089 0.247 0.239 (multiplicity 8)
3 Cl 0.000 0.325 0.250 (multiplicity 4)
4 Cl 0.162 0.158 0.228 (multiplicity 8)

Summary:
total energy: -66.395 eV for the cell shown

3.
K3Ce2MgTe6: optimized geometry, PBE-GGA.

abc: 7.875 13.642 8.607
angles: 90.00 107.79 90.00
Space group C2/m (No. 12)
One atom of each set of equivalent atoms:
1 K 0.000 0.000 0.000 (multiplicity 2)
2 K 0.000 0.331 0.000 (multiplicity 4)
3 Ce 0.000 0.166 0.500 (multiplicity 4)
4 Mg 0.000 0.500 0.500 (multiplicity 2)
5 Te 0.232 0.337 0.706 (multiplicity 8)
6 Te 0.243 0.000 0.707 (multiplicity 4)

Summary:
uncorrected formation energy: -1.201 eV/atom
total energy: -100.037 eV for the cell shown

4.
MgZrNiC2: optimized geometry, PBE-GGA.

abc: 4.203 4.203 5.638
angles: 90.00 90.00 90.00
Space group P4/mmm (No. 123)
One atom of each set of equivalent atoms:
1 Mg 0.000 0.000 0.000 (multiplicity 1)
2 Zr 0.000 0.000 0.500 (multiplicity 1)
3 Ni 0.500 0.500 0.000 (multiplicity 1)
4 C 0.000 0.500 0.500 (multiplicity 2)

Summary:
total energy: -24.339 eV for the cell shown
E_form: 2.007 eV per atom

5.
HfBeCu: optimized geometry, PBE-GGA.

abc: 11.023 3.681 6.183
angles: 90.00 90.00 90.00
Space group Pmma (No. 51)
One atom of each set of equivalent atoms:
1 Hf 0.037 0.000 0.242 (multiplicity 4)
2 Hf 0.250 0.000 0.862 (multiplicity 2)
3 Be 0.093 0.500 0.952 (multiplicity 4)
4 Be 0.250 0.000 0.434 (multiplicity 2)
5 Cu 0.129 0.500 0.570 (multiplicity 4)
6 Cu 0.250 0.500 0.211 (multiplicity 2)

Summary:
total energy: -109.946 eV for the cell shown
E_form: -0.183 eV per atom

6.
Tm6Te3C2S: optimized geometry, PBE-GGA.

abc: 6.690 11.590 7.230
angles: 90.00 107.94 90.00
Space group C2/m (No. 12)
One atom of each set of equivalent atoms:
1 Tm 0.204 0.000 0.190 (multiplicity 4)
2 Tm 0.245 0.320 0.194 (multiplicity 8)
3 Te 0.000 0.000 0.500 (multiplicity 2)
4 Te 0.000 0.340 0.500 (multiplicity 4)
5 C 0.000 0.167 0.000 (multiplicity 4)
6 S 0.000 0.500 0.000 (multiplicity 2)

Summary:
uncorrected formation energy: -1.157 eV/atom
total energy: -145.423 eV for the cell shown

7.
ZrAgW3: optimized geometry, PBE-GGA.

abc: 4.794 4.794 4.794
angles: 90.00 90.00 90.00
Space group Pm-3m (No. 221)
One atom of each set of equivalent atoms:
1 Zr 0.000 0.000 0.000 (multiplicity 1)
2 Ag 0.500 0.500 0.500 (multiplicity 1)
3 W 0.000 0.500 0.500 (multiplicity 3)

Summary:
total energy: -38.031 eV for the cell shown
E_form: 2.446 eV per atom

8.
Nd2Zn2Cu5Ag: optimized geometry, PBE-GGA.

abc: 9.882 9.882 3.648
angles: 90.00 90.00 90.00
Space group P4/mbm (No. 127)
One atom of each set of equivalent atoms:
1 Nd 0.180 0.320 0.000 (multiplicity 4)
2 Zn 0.117 0.617 0.000 (multiplicity 4)
3 Cu 0.000 0.500 0.500 (multiplicity 2)
4 Cu 0.051 0.797 0.500 (multiplicity 8)
5 Ag 0.000 0.000 0.000 (multiplicity 2)

Summary:
total energy: -71.343 eV for the cell shown
E_form: -0.026 eV per atom

9.
RbLiCeBr5: optimized geometry, PBE-GGA.

abc: 9.600 13.020 10.905
angles: 90.00 113.44 90.00
Space group C2/c (No. 15)
One atom of each set of equivalent atoms:
1 Rb 0.000 0.149 0.250 (multiplicity 4)
2 Li 0.000 0.191 0.750 (multiplicity 4)
3 Ce 0.000 0.500 0.000 (multiplicity 4)
4 Br 0.000 0.415 0.250 (multiplicity 4)
5 Br 0.112 0.298 0.614 (multiplicity 8)
6 Br 0.188 0.068 0.926 (multiplicity 8)

Summary:
uncorrected formation energy: -1.735 eV/atom
total energy: -124.224 eV for the cell shown

10.
ScIrRh2: optimized geometry, PBE-GGA.

abc: 3.960 3.960 7.825
angles: 90.00 90.00 90.00
Space group I4/mmm (No. 139)
One atom of each set of equivalent atoms:
1 Sc 0.000 0.000 0.000 (multiplicity 2)
2 Ir 0.000 0.000 0.500 (multiplicity 2)
3 Rh 0.000 0.500 0.250 (multiplicity 4)

Summary:
total energy: -64.035 eV for the cell shown
E_form: -0.531 eV per atom

11.
ReSiAu2: optimized geometry, PBE-GGA.

abc: 2.797 4.917 9.709
angles: 90.00 90.00 90.00
Space group Cmmm (No. 65)
One atom of each set of equivalent atoms:
1 Re 0.000 0.000 0.000 (multiplicity 2)
2 Si 0.000 0.000 0.500 (multiplicity 2)
3 Au 0.000 0.500 0.255 (multiplicity 4)

Summary:
uncorrected formation energy: 0.528 eV/atom
total energy: -44.624 eV for the cell shown

12.
LiCeCu2Si2: optimized geometry, PBE-GGA.

abc: 4.0838 4.0838 6.7174
angles: 90.00 90.00 120.00
Space group P-3m1 (No. 164)
One atom of each set of equivalent atoms:
1 Li 0.0000 0.0000 0.0000 (multiplicity 1)
2 Ce 0.0000 0.0000 0.5000 (multiplicity 1)
3 Cu 0.3333 0.6667 0.1609 (multiplicity 2)
4 Si 0.3333 0.6667 0.7808 (multiplicity 2)

Summary:
uncorrected formation energy: -0.450 eV/atom
total energy: -29.584 eV for the cell shown

13.
Tb2TmSc: optimized geometry, PBE-GGA.

abc: 4.929 4.929 4.853
angles: 90.00 90.00 90.00
Space group P4/mmm (No. 123)
One atom of each set of equivalent atoms:
1 Tb 0.000 0.500 0.000 (multiplicity 2)
2 Tm 0.000 0.000 0.500 (multiplicity 1)
3 Sc 0.500 0.500 0.500 (multiplicity 1)

Summary:
total energy: -19.899 eV for the cell shown
E_form: 0.041 eV per atom

14.
Hf2NbN4: optimized geometry, PBE-GGA.

abc: 3.034 10.379 10.407
angles: 90.00 90.00 90.00
Space group Cmcm (No. 63)
One atom of each set of equivalent atoms:
1 Hf 0.000 0.128 0.077 (multiplicity 8)
2 Nb 0.000 0.372 0.250 (multiplicity 4)
3 N 0.000 0.019 0.250 (multiplicity 4)
4 N 0.000 0.227 0.624 (multiplicity 8)
5 N 0.000 0.500 0.000 (multiplicity 4)

Summary:
uncorrected formation energy: -1.344 eV/atom
total energy: -290.734 eV for the cell shown

15.
La2PmTh: optimized geometry, PBE-GGA.

abc: 11.846 3.689 6.386
angles: 90.00 90.00 90.00
Space group Amm2 (No. 38)
One atom of each set of equivalent atoms:
1 La 0.247 0.000 0.000 (multiplicity 4)
2 Pm 0.500 0.000 0.666 (multiplicity 2)
3 Th 0.000 0.000 0.334 (multiplicity 2)

Summary:
total energy: -43.741 eV for the cell shown
E_form: 0.039 eV per atom

16.
SrLa2As2: optimized geometry, PBE-GGA.

abc: 8.647 8.647 3.835
angles: 90.00 90.00 90.00
Space group P4/mbm (No. 127)
One atom of each set of equivalent atoms:
1 Sr 0.000 0.000 0.000 (multiplicity 2)
2 La 0.131 0.369 0.000 (multiplicity 4)
3 As 0.169 0.669 0.500 (multiplicity 4)

Summary:
total energy: -50.052 eV for the cell shown
E_form: -0.838 eV per atom

17.
CsRu3O: optimized geometry, PBE-GGA.

abc: 4.338 4.338 4.338
angles: 90.00 90.00 90.00
Space group Pm-3m (No. 221)
One atom of each set of equivalent atoms:
1 Cs 0.000 0.000 0.000 (multiplicity 1)
2 Ru 0.000 0.500 0.500 (multiplicity 3)
3 O 0.500 0.500 0.500 (multiplicity 1)

Summary:
uncorrected formation energy: 1.276 eV/atom
total energy: -27.258 eV for the cell shown

18.
Hf4Zr3Tc: optimized geometry, PBE-GGA.

abc: 3.260 3.260 16.207
angles: 90.00 90.00 90.00
Space group P4/mmm (No. 123)
One atom of each set of equivalent atoms:
1 Hf 0.000 0.000 0.097 (multiplicity 2)
2 Hf 0.000 0.000 0.365 (multiplicity 2)
3 Zr 0.500 0.500 0.232 (multiplicity 2)
4 Zr 0.500 0.500 0.500 (multiplicity 1)
5 Tc 0.500 0.500 0.000 (multiplicity 1)

Summary:
total energy: -76.583 eV for the cell shown
E_form: -0.095 eV per atom

19.
DyTiCu2: optimized geometry, PBE-GGA.

abc: 6.582 6.582 6.582
angles: 90.00 90.00 90.00
Space group Fm-3m (No. 225)
One atom of each set of equivalent atoms:
1 Dy 0.000 0.000 0.000 (multiplicity 4)
2 Ti 0.000 0.000 0.500 (multiplicity 4)
3 Cu 0.250 0.250 0.250 (multiplicity 8)

Summary:
total energy: -83.342 eV for the cell shown
E_form: -0.037 eV per atom

20.
Na3Fe5Br12: optimized geometry, PBE-GGA.

abc: 16.454 16.454 16.454
angles: 90.00 90.00 90.00
Space group Ia-3d (No. 230)
One atom of each set of equivalent atoms:
1 Na 0.000 0.250 0.125 (multiplicity 24)
2 Fe 0.000 0.000 0.000 (multiplicity 16)
3 Fe 0.000 0.250 0.375 (multiplicity 24)
4 Br 0.030 0.054 0.648 (multiplicity 96)

Summary:
uncorrected formation energy: -0.654 eV/atom
total energy: -635.387 eV for the cell shown